The following is a PBE calculation of a relaxed structure of Rb2PuGaO6, from Alexandria.

extended XYZ file:
```
20
Lattice="6.036 0.000 0.000 3.018 5.228 0.000 3.018 1.743 9.827" Properties=species:S:1:pos:R:3 pbc="T T T"
Rb 9.055 5.228 3.905
Rb 3.018 1.743 5.922
Rb 9.055 5.228 8.405
Rb 3.018 1.743 1.422
Pu 6.036 3.485 2.193
Pu 6.036 3.485 7.634
Ga 0.000 0.000 0.000
Ga 6.036 3.485 4.913
O 7.353 2.725 3.564
O 6.036 5.005 3.564
O 4.720 2.725 3.564
O 4.720 4.245 6.262
O 6.036 1.965 6.262
O 7.353 4.245 6.262
O 7.541 2.617 8.689
O 6.036 5.222 8.689
O 4.532 2.617 8.689
O 4.532 4.354 1.137
O 6.036 1.748 1.137
O 7.541 4.354 1.137
```

Values from the calculation:
- Crystal system: trigonal
- Formation energy from raw total energies: -1.97 eV per atom
- ρ: 6.2 Mg/m³